{
  "formula": "Pm2CdFeO6",
  "functional": "GGA+U",
  "state": "optimized geometry",
  "cell": [[5.138, 0.000, 0.000], [0.000, 5.323, 0.000], [0.000, 0.000, 5.323]],
  "species": ["O", "O", "O", "O", "O", "O", "Pm", "Pm", "Fe", "Cd"],
  "frac_coords": [[0.734, 0.764, 0.236], [0.734, 0.236, 0.236], [0.734, 0.764, 0.764], [0.123, 0.500, 0.500], [0.232, 0.000, 0.000], [0.734, 0.236, 0.764], [0.006, 0.000, 0.500], [0.006, 0.500, 0.000], [0.609, 0.000, 0.000], [0.535, 0.500, 0.500]],
  "final_energy_ev_per_atom": -6.679,
  "n_ef_per_ev_fu": 0.400,
  "magnetic_moment_mub_per_fu": 4.00
}